The following is a PBE with a Hubbard U calculation of a geometry-optimized CdFeRe2O structure, from Alexandria. Values from VASP.

D(E_F): 2.3 states/eV/cell
VASP energy: -4.250 eV/atom

Cell and atoms, written as Quantum ESPRESSO input:
```
&SYSTEM
  ibrav = 0, nat = 5, ntyp = 4
/
ATOMIC_SPECIES
Cd 112.41 Cd.upf
Re 186.21 Re.upf
Fe 55.84 Fe.upf
O 16.00 O.upf
ATOMIC_POSITIONS crystal
Cd 0.0000 0.0000 0.0000
Re 0.5000 0.0000 0.0000
Re 0.0000 0.0000 0.5000
Fe 0.0000 0.5000 0.0000
O 0.5000 0.5000 0.5000
CELL_PARAMETERS angstrom
5.0950 0.0000 0.0000
0.0000 4.9642 0.0000
0.0000 0.0000 5.0950
```